# 1
VASP calculation (PBE) on a geometry-optimized Er2CdSe structure.

Energy relative to the elements, uncorrected (eV/atom): -0.88
DOS at the Fermi energy (states/eV per cell): 3.59
Spin magnetization (μB/cell): 0.001

Lattice parameters (Å, degrees): 3.761 3.761 8.720 77.55 77.55 60.00
Fractional positions:
Cd 0.667 0.667 0.998
Se 0.499 0.499 0.502
Er 0.243 0.243 0.272
Er 0.091 0.091 0.728


# 2
VASP calculation (PBE) on a geometry-optimized K2MgSe structure.

Energy relative to the elements, uncorrected (eV/atom): -0.62
DOS at the Fermi energy (states/eV per cell): 0.28
Spin magnetization (μB/cell): 0.000

Lattice parameters (Å, degrees): 4.271 5.168 7.255 68.94 90.00 90.00
Fractional positions:
Se 0.500 0.551 0.778
K 0.000 0.983 0.909
Mg 0.000 0.670 0.531
K 0.500 0.296 0.282


# 3
VASP calculation (PBE) on a geometry-optimized CdIr2Os structure.

Energy of formation from the pure elements (kJ/mol of formula units): 160
DOS at the Fermi energy (states/eV per cell): 3.63
Spin magnetization (μB/cell): 0.647

Lattice parameters (Å, degrees): 2.776 2.776 9.589 90.00 90.00 120.12
Fractional positions:
Cd 0.500 0.500 0.750
Ir 0.000 0.000 0.486
Os 0.500 0.500 0.250
Ir 0.000 0.000 0.014


# 4
VASP calculation (PBE) on a geometry-optimized Hf2Al2Ga structure.

Energy of formation from the pure elements (kJ/mol of formula units): -4
DOS at the Fermi energy (states/eV per cell): 7.29
Spin magnetization (μB/cell): 0.000

Lattice parameters (Å, degrees): 2.918 4.816 14.579 90.00 90.00 90.00
Fractional positions:
Al 0.500 0.418 0.870
Hf 0.000 0.913 0.813
Al 0.500 0.582 0.130
Hf 0.000 0.413 0.687
Hf 0.000 0.587 0.313
Al 0.500 0.918 0.630
Ga 0.000 0.500 0.500
Al 0.500 0.082 0.370
Hf 0.000 0.087 0.187
Ga 0.000 0.000 0.000


# 5
VASP calculation (PBE) on a geometry-optimized Pm2Ho4Sc5 structure.

Energy of formation from the pure elements (kJ/mol of formula units): 164
DOS at the Fermi energy (states/eV per cell): 19.81
Spin magnetization (μB/cell): 0.041

Lattice parameters (Å, degrees): 6.897 6.413 9.331 82.53 68.31 57.47
Fractional positions:
Sc 0.774 0.778 0.217
Sc 0.226 0.222 0.783
Sc 0.231 0.778 0.217
Ho 0.312 0.242 0.134
Ho 0.675 0.172 0.477
Sc 0.000 0.500 0.500
Sc 0.769 0.222 0.783
Ho 0.325 0.828 0.523
Pm 0.206 0.697 0.890
Pm 0.794 0.303 0.110
Ho 0.688 0.758 0.866


# 6
VASP calculation (PBE) on a geometry-optimized Sm3Pb2O structure.

Energy relative to the elements, uncorrected (eV/atom): -1.22
DOS at the Fermi energy (states/eV per cell): 7.66
Spin magnetization (μB/cell): 0.000

Lattice parameters (Å, degrees): 6.500 8.466 7.131 99.62 117.11 90.00
Fractional positions:
Sm 0.370 0.250 0.000
Sm 0.247 0.667 0.285
O 0.032 0.250 0.000
Sm 0.039 0.167 0.285
O 0.968 0.750 0.000
Sm 0.630 0.750 0.000
Sm 0.753 0.333 0.715
Pb 0.247 0.480 0.668
Pb 0.421 0.980 0.668
Sm 0.961 0.833 0.715
Pb 0.753 0.520 0.332
Pb 0.579 0.020 0.332


# 7
VASP calculation (PBE) on a geometry-optimized LiTb2S structure.

Energy relative to the elements, uncorrected (eV/atom): -0.72
DOS at the Fermi energy (states/eV per cell): 2.83
Spin magnetization (μB/cell): 0.000

Lattice parameters (Å, degrees): 3.691 3.691 10.033 79.40 79.40 60.00
Fractional positions:
Li 0.000 0.000 0.000
Tb 0.889 0.889 0.332
Tb 0.111 0.111 0.668
S 0.500 0.500 0.500


# 8
VASP calculation (PBE) on a geometry-optimized VAsI structure.

Energy relative to the elements, uncorrected (eV/atom): -0.17
DOS at the Fermi energy (states/eV per cell): 8.72
Spin magnetization (μB/cell): 0.001

Lattice parameters (Å, degrees): 6.083 13.430 3.671 90.00 90.00 90.00
Fractional positions:
As 0.500 0.406 0.000
As 0.500 0.594 0.000
I 0.500 0.152 0.500
As 0.000 0.906 0.000
I 0.000 0.652 0.500
V 0.285 0.500 0.500
V 0.785 0.000 0.500
I 0.500 0.848 0.500
I 0.000 0.348 0.500
V 0.715 0.500 0.500
V 0.215 0.000 0.500
As 0.000 0.094 0.000